P.
GePdW3: relaxed, PBE.

Cell: 4.569 4.569 4.569 Å, 90.00 90.00 90.00°
Element x y z (fractional)
1 Ge 0.000 0.000 0.000
2 Pd 0.500 0.500 0.500
3 W 0.000 0.000 0.500
4 W 0.000 0.500 0.000
5 W 0.500 0.000 0.000

Q.
GePdW3: relaxed, PBE.

Cell: 4.747 4.747 4.747 Å, 90.00 90.00 90.00°
Element x y z (fractional)
1 Ge 0.000 0.000 0.000
2 Pd 0.500 0.500 0.500
3 W 0.000 0.500 0.500
4 W 0.500 0.000 0.500
5 W 0.500 0.500 0.000

Bottom line: P, by a margin of 604 meV/atom.